[1]
NbTlTe2O8 | the Alexandria database | GGA-PBE | optimized geometry; formation energy (no corrections) = -1256.0 meV per atom; total magnetization = 0.00 μB/cell; theoretical density = 6.73 g/cm³
1.0
6.0770 -2.8697 0.0000
6.0770 2.8697 0.0000
-1.8550 0.0000 4.8150
Nb Tl Te O
1 1 2 8
Direct
0.0000 0.0000 0.0000
0.5000 0.5000 0.5000
0.2778 0.2778 0.7632
0.7222 0.7222 0.2368
0.1058 0.1058 0.8018
0.1627 0.6386 0.7384
0.3256 0.3256 0.1579
0.3614 0.8373 0.2616
0.6386 0.1627 0.7384
0.6744 0.6744 0.8421
0.8373 0.3614 0.2616
0.8942 0.8942 0.1982

=====

[2]
YNb2TeO | the Alexandria database | GGA-PBE | optimized geometry; formation energy (no corrections) = -799.8 meV per atom; total magnetization = 0.00 μB/cell; theoretical density = 7.72 g/cm³
1.0
4.3336 0.0000 0.0000
0.0000 4.3336 0.0000
0.0000 0.0000 4.7896
Y Nb Te O
1 2 1 1
Direct
0.0000 0.0000 0.0000
0.0000 0.5000 0.5000
0.5000 0.0000 0.5000
0.5000 0.5000 0.0000
0.0000 0.0000 0.5000

=====

[3]
NbZnTeO6 | the Alexandria database | GGA-PBE | optimized geometry; formation energy (no corrections) = -1509.7 meV per atom; total magnetization = 0.00 μB/cell; theoretical density = 5.65 g/cm³
1.0
5.3423 0.0000 0.0000
-2.6712 4.6266 0.0000
0.0000 0.0000 9.0861
Nb Zn Te O
2 2 2 12
Direct
0.3333 0.6667 0.2500
0.6667 0.3333 0.7500
0.0000 0.0000 0.0000
0.0000 0.0000 0.5000
0.3333 0.6667 0.7500
0.6667 0.3333 0.2500
0.0028 0.3513 0.1316
0.0028 0.6514 0.3684
0.3486 0.3513 0.3684
0.3486 0.9972 0.1316
0.3513 0.0028 0.6316
0.3513 0.3486 0.8684
0.6487 0.6514 0.1316
0.6487 0.9972 0.3684
0.6514 0.0028 0.8684
0.6514 0.6487 0.6316
0.9972 0.3486 0.6316
0.9972 0.6487 0.8684

=====

[4]
NbZnTeO2 | the Alexandria database | GGA-PBE | optimized geometry; formation energy (no corrections) = 217.4 meV per atom; total magnetization = 1.71 μB/cell; theoretical density = 6.08 g/cm³
1.0
3.8782 0.0000 0.0000
0.0000 3.8782 0.0000
0.0000 0.0000 5.7689
Nb Zn Te O
1 1 1 2
Direct
0.0000 0.0000 0.0000
0.0000 0.0000 0.5000
0.5000 0.5000 0.0000
0.0000 0.5000 0.5000
0.5000 0.0000 0.5000

=====

[5]
Nb2Zn2TeO8 | the Alexandria database | GGA-PBE | optimized geometry; formation energy (no corrections) = -1827.9 meV per atom; total magnetization = 0.00 μB/cell; theoretical density = 5.08 g/cm³
1.0
5.3329 0.0000 0.0000
-0.1156 6.2724 0.0000
-0.6521 -2.9843 11.1785
Nb Zn Te O
4 4 2 16
Direct
0.1464 0.3940 0.2543
0.3291 0.2997 0.7219
0.6709 0.7003 0.2781
0.8536 0.6060 0.7457
0.1813 0.9898 0.4082
0.3399 0.7089 0.5612
0.6601 0.2911 0.4388
0.8187 0.0102 0.5918
0.3269 0.8628 0.0278
0.6731 0.1372 0.9722
0.0044 0.1505 0.1426
0.0330 0.3615 0.8080
0.1629 0.5165 0.6374
0.1963 0.0249 0.5965
0.3040 0.2535 0.3726
0.3543 0.7097 0.3887
0.4508 0.4433 0.1795
0.4855 0.1154 0.8198
0.5145 0.8846 0.1802
0.5492 0.5567 0.8205
0.6457 0.2903 0.6113
0.6960 0.7465 0.6274
0.8037 0.9751 0.4035
0.8371 0.4835 0.3626
0.9670 0.6385 0.1920
0.9956 0.8495 0.8574

=====

[6]
ThNb2O6 | the Alexandria database | GGA-PBE | optimized geometry; formation energy (no corrections) = -2815.4 meV per atom; total magnetization = 2.03 μB/cell; theoretical density = 6.72 g/cm³
1.0
5.2962 0.0000 0.0000
-2.6481 4.5867 0.0000
0.0000 0.0000 5.2277
Th Nb O
1 2 6
Direct
0.0000 0.0000 0.0000
0.3333 0.6667 0.5000
0.6667 0.3333 0.5000
0.0000 0.3461 0.7233
0.0000 0.6539 0.2767
0.3461 0.0000 0.7233
0.3461 0.3461 0.2767
0.6539 0.0000 0.2767
0.6539 0.6539 0.7233

=====

[7]
ThNb3Tl2O12 | the Alexandria database | GGA-PBE | optimized geometry; formation energy (no corrections) = -2108.1 meV per atom; total magnetization = 0.00 μB/cell; theoretical density = 6.88 g/cm³
1.0
3.8332 2.2131 5.2683
-3.8332 2.2131 5.2683
0.0000 -4.4262 5.2683
Th Nb Tl O
1 3 2 12
Direct
0.0000 0.0000 0.0000
0.0000 0.0000 0.5000
0.0000 0.5000 0.0000
0.5000 0.0000 0.0000
0.3585 0.3585 0.3585
0.6415 0.6415 0.6415
0.0926 0.7418 0.7418
0.1448 0.1448 0.5837
0.1448 0.5837 0.1448
0.2582 0.2582 0.9074
0.2582 0.9074 0.2582
0.4163 0.8552 0.8552
0.5837 0.1448 0.1448
0.7418 0.0926 0.7418
0.7418 0.7418 0.0926
0.8552 0.4163 0.8552
0.8552 0.8552 0.4163
0.9074 0.2582 0.2582

=====

[8]
Th2NbTlO8 | the Alexandria database | GGA-PBE | optimized geometry; formation energy (no corrections) = -2695.4 meV per atom; total magnetization = 0.00 μB/cell; theoretical density = 8.08 g/cm³
1.0
3.4295 -3.5959 0.0000
3.4295 3.5959 0.0000
-0.2129 0.0000 7.4147
Th Nb Tl O
2 1 1 8
Direct
0.0326 0.0326 0.2582
0.9674 0.9674 0.7418
0.5000 0.5000 0.5000
0.5000 0.5000 0.0000
0.1980 0.1980 0.9823
0.2070 0.2070 0.5249
0.2836 0.6557 0.2934
0.3443 0.7164 0.7066
0.6557 0.2836 0.2934
0.7164 0.3443 0.7066
0.7930 0.7930 0.4751
0.8020 0.8020 0.0177

=====

[9]
Ti2NbO6 | the Alexandria database | GGA-PBE | optimized geometry; formation energy (no corrections) = -2777.1 meV per atom; total magnetization = 0.85 μB/cell; theoretical density = 4.77 g/cm³
1.0
5.0369 0.0000 0.0000
-2.5184 4.3621 0.0000
0.0000 0.0000 4.5071
Ti Nb O
2 1 6
Direct
0.3333 0.6667 0.0000
0.6667 0.3333 0.0000
0.0000 0.0000 0.5000
0.0000 0.3327 0.2386
0.0000 0.6673 0.7614
0.3327 0.0000 0.2386
0.3327 0.3327 0.7614
0.6673 0.0000 0.7614
0.6673 0.6673 0.2386

=====

[10]
Ti2Nb2O | the Alexandria database | GGA-PBE | optimized geometry; formation energy (no corrections) = 475.0 meV per atom; total magnetization = 0.00 μB/cell; theoretical density = 6.17 g/cm³
1.0
-1.6237 1.6237 7.5950
1.6237 -1.6237 7.5950
1.6237 1.6237 -7.5950
Ti Nb O
2 2 1
Direct
0.2500 0.7500 0.5000
0.7500 0.2500 0.5000
0.0877 0.0877 0.0000
0.9123 0.9123 0.0000
0.5000 0.5000 0.0000

=====

[11]
Ti3NbO | the Alexandria database | GGA-PBE | optimized geometry; formation energy (no corrections) = 1348.2 meV per atom; total magnetization = 2.68 μB/cell; theoretical density = 3.84 g/cm³
1.0
4.7788 0.0000 0.0000
0.0000 4.7788 0.0000
0.0000 0.0000 4.7788
Ti Nb O
3 1 1
Direct
0.0000 0.0000 0.5000
0.0000 0.5000 0.0000
0.5000 0.0000 0.0000
0.0000 0.0000 0.0000
0.5000 0.5000 0.5000

=====

[12]
Ti5NbO12 | the Alexandria database | GGA-PBE | optimized geometry; formation energy (no corrections) = -2909.2 meV per atom; total magnetization = 0.00 μB/cell; theoretical density = 4.40 g/cm³
1.0
4.4634 -3.3293 0.0000
4.4634 3.3293 0.0000
-2.9125 0.0000 6.6602
Ti Nb O
5 1 12
Direct
0.0000 0.0000 0.0000
0.3377 0.3377 0.3264
0.3385 0.3385 0.8371
0.6615 0.6615 0.1629
0.6623 0.6623 0.6736
0.0000 0.0000 0.5000
0.0287 0.6320 0.3307
0.1017 0.1017 0.2947
0.2311 0.2311 0.0347
0.3046 0.6954 0.0000
0.3680 0.9713 0.6693
0.4345 0.4345 0.6292
0.5655 0.5655 0.3708
0.6320 0.0287 0.3307
0.6954 0.3046 0.0000
0.7689 0.7689 0.9653
0.8983 0.8983 0.7053
0.9713 0.3680 0.6693

=====

- What is the total magnetization in the first record?
  0.00 μB/cell

=====

- Look up the total magnetization of the fifth one.
  0.00 μB/cell

=====

- What is the formula in the first record?
  NbTlTe2O8